DFT (PBE) results for a relaxed structure of LiLaCr.

The structure in extended XYZ format:
```
6
Lattice="3.770 0.000 0.000 0.000 3.770 0.000 0.000 0.000 10.204" Properties=species:S:1:pos:R:3 pbc="T T T"
Li 0.000 0.000 0.000
Li 1.885 1.885 5.102
La 0.000 0.000 7.081
La 1.885 1.885 1.979
Cr 0.000 0.000 3.732
Cr 1.885 1.885 8.834
```

Properties
Its crystal system is tetragonal. The calculation puts the energy relative to the lowest polymorph listed for this composition at 13.0 meV per atom. As for the space group: I4mm (107).